# Hf2Sc2Cu (PBE, relaxed)
data_Hf2Sc2Cu
_symmetry_space_group_name_H-M 'P 4/m b m'
_symmetry_Int_Tables_number 127
_symmetry_space_group_name_Hall '-P 4 2ab'
_cell_length_a 6.8231
_cell_length_b 6.8231
_cell_length_c 4.7934
_cell_angle_alpha 90.00
_cell_angle_beta 90.00
_cell_angle_gamma 90.00
loop_
_atom_site_label
_atom_site_type_symbol
_atom_site_fract_x
_atom_site_fract_y
_atom_site_fract_z
Hf1 Hf 0.1466 0.3534 0.0000
Sc1 Sc 0.1568 0.6568 0.5000
Cu1 Cu 0.0000 0.0000 0.0000
# VASP energy: -7.109 eV per atom
# DFT formation energy: 0.2242 eV per atom
# energy above the most stable polymorph in this dataset: 0.00 eV per formula unit



# HfScCu (PBE, relaxed)
data_HfScCu
_symmetry_space_group_name_H-M 'P 1 m 1'
_symmetry_Int_Tables_number 6
_cell_length_a 3.2106
_cell_length_b 4.3361
_cell_length_c 8.4786
_cell_angle_alpha 90.00
_cell_angle_beta 100.90
_cell_angle_gamma 90.00
loop_
_symmetry_equiv_pos_as_xyz
'x,y,z'
'x,-y,z'
loop_
_atom_site_label
_atom_site_type_symbol
_atom_site_fract_x
_atom_site_fract_y
_atom_site_fract_z
Hf1 Hf 0.0000 0.0000 0.0000
Hf2 Hf 0.3940 0.5000 0.7903
Sc1 Sc 0.1937 0.5000 0.3853
Sc2 Sc 0.8068 0.0000 0.6144
Cu1 Cu 0.5577 0.5000 0.1130
Cu2 Cu 0.6397 0.0000 0.2764
# VASP energy: -6.871 eV per atom
# DFT formation energy: -0.0775 eV per atom
# energy above the most stable polymorph in this dataset: 0.12 eV per formula unit



# Hf2ScCu (PBE, relaxed)
data_Hf2ScCu
_symmetry_space_group_name_H-M 'R 3 m'
_symmetry_Int_Tables_number 160
_symmetry_space_group_name_Hall 'R 3 -2"'
_cell_length_a 3.2101
_cell_length_b 3.2101
_cell_length_c 27.8524
_cell_angle_alpha 90.00
_cell_angle_beta 90.00
_cell_angle_gamma 120.00
loop_
_atom_site_label
_atom_site_type_symbol
_atom_site_fract_x
_atom_site_fract_y
_atom_site_fract_z
Hf1 Hf 0.0000 0.0000 0.0000
Hf2 Hf 0.0000 0.0000 0.1844
Sc1 Sc 0.0000 0.0000 0.4252
Cu1 Cu 0.0000 0.0000 0.5922
# VASP energy: -7.480 eV per atom
# DFT formation energy: 0.1040 eV per atom
# energy above the most stable polymorph in this dataset: 0.44 eV per formula unit



# HfScCu (PBE, relaxed)
data_HfScCu
_symmetry_space_group_name_H-M 'C 1 m 1'
_symmetry_Int_Tables_number 8
_cell_length_a 10.1297
_cell_length_b 3.1392
_cell_length_c 7.9679
_cell_angle_alpha 90.00
_cell_angle_beta 114.51
_cell_angle_gamma 90.00
loop_
_symmetry_equiv_pos_as_xyz
'x,y,z'
'x,-y,z'
'x+1/2,y+1/2,z'
'x+1/2,-y+1/2,z'
loop_
_atom_site_label
_atom_site_type_symbol
_atom_site_fract_x
_atom_site_fract_y
_atom_site_fract_z
Hf1 Hf 0.0000 0.0000 0.0000
Hf2 Hf 0.1611 0.5000 0.8008
Sc1 Sc 0.1512 0.5000 0.3908
Sc2 Sc 0.3207 0.0000 0.1761
Cu1 Cu 0.3503 0.0000 0.6818
Cu2 Cu 0.4636 0.5000 0.5148
# VASP energy: -6.851 eV per atom
# DFT formation energy: -0.0569 eV per atom
# energy above the most stable polymorph in this dataset: 0.18 eV per formula unit



# Hf2ScCu9 (PBE, relaxed)
data_Hf2ScCu9
_symmetry_space_group_name_H-M 'R -3 m'
_symmetry_Int_Tables_number 166
_symmetry_space_group_name_Hall '-R 3 2"'
_cell_length_a 4.9634
_cell_length_b 4.9634
_cell_length_c 24.4328
_cell_angle_alpha 90.00
_cell_angle_beta 90.00
_cell_angle_gamma 120.00
loop_
_atom_site_label
_atom_site_type_symbol
_atom_site_fract_x
_atom_site_fract_y
_atom_site_fract_z
Hf1 Hf 0.0000 0.0000 0.1393
Sc1 Sc 0.0000 0.0000 0.0000
Cu1 Cu 0.0000 0.0000 0.3332
Cu2 Cu 0.0000 0.0000 0.5000
Cu3 Cu 0.0029 0.5014 0.9158
# VASP energy: -5.378 eV per atom
# DFT formation energy: -0.1194 eV per atom



# HfSc2Cu (PBE, relaxed)
data_HfSc2Cu
_symmetry_space_group_name_H-M 'F m -3 m'
_symmetry_Int_Tables_number 225
_symmetry_space_group_name_Hall '-F 4 2 3'
_cell_length_a 6.8679
_cell_length_b 6.8679
_cell_length_c 6.8679
_cell_angle_alpha 90.00
_cell_angle_beta 90.00
_cell_angle_gamma 90.00
loop_
_atom_site_label
_atom_site_type_symbol
_atom_site_fract_x
_atom_site_fract_y
_atom_site_fract_z
Hf1 Hf 0.0000 0.0000 0.0000
Sc1 Sc 0.2500 0.2500 0.2500
Cu1 Cu 0.0000 0.0000 0.5000
# VASP energy: -6.461 eV per atom
# DFT formation energy: 0.2169 eV per atom
# energy above the most stable polymorph in this dataset: 1.29 eV per formula unit



# Hf2Sc2Cu (PBE, relaxed)
data_Hf2Sc2Cu
_symmetry_space_group_name_H-M 'I 4/m m m'
_symmetry_Int_Tables_number 139
_symmetry_space_group_name_Hall '-I 4 2'
_cell_length_a 3.8191
_cell_length_b 3.8191
_cell_length_c 16.2312
_cell_angle_alpha 90.00
_cell_angle_beta 90.00
_cell_angle_gamma 90.00
loop_
_atom_site_label
_atom_site_type_symbol
_atom_site_fract_x
_atom_site_fract_y
_atom_site_fract_z
Hf1 Hf 0.0000 0.5000 0.2500
Sc1 Sc 0.0000 0.0000 0.0904
Cu1 Cu 0.0000 0.0000 0.5000
# VASP energy: -6.752 eV per atom
# DFT formation energy: 0.5813 eV per atom
# energy above the most stable polymorph in this dataset: 1.79 eV per formula unit



# HfScCu (PBE, relaxed)
data_HfScCu
_symmetry_space_group_name_H-M 'P 63/m m c'
_symmetry_Int_Tables_number 194
_symmetry_space_group_name_Hall '-P 6c 2c'
_cell_length_a 4.8022
_cell_length_b 4.8022
_cell_length_c 5.5484
_cell_angle_alpha 90.00
_cell_angle_beta 90.00
_cell_angle_gamma 120.00
loop_
_atom_site_label
_atom_site_type_symbol
_atom_site_fract_x
_atom_site_fract_y
_atom_site_fract_z
Hf1 Hf 0.3333 0.6667 0.2500
Sc1 Sc 0.3333 0.6667 0.7500
Cu1 Cu 0.0000 0.0000 0.0000
# VASP energy: -6.377 eV per atom
# DFT formation energy: 0.4162 eV per atom
# energy above the most stable polymorph in this dataset: 1.60 eV per formula unit



# HfScCu (PBE, relaxed)
data_HfScCu
_symmetry_space_group_name_H-M 'I 4 m m'
_symmetry_Int_Tables_number 107
_symmetry_space_group_name_Hall 'I 4 -2'
_cell_length_a 3.1908
_cell_length_b 3.1908
_cell_length_c 11.3056
_cell_angle_alpha 90.00
_cell_angle_beta 90.00
_cell_angle_gamma 90.00
loop_
_atom_site_label
_atom_site_type_symbol
_atom_site_fract_x
_atom_site_fract_y
_atom_site_fract_z
Hf1 Hf 0.0000 0.0000 0.0000
Sc1 Sc 0.0000 0.0000 0.3058
Cu1 Cu 0.0000 0.0000 0.6458
# VASP energy: -6.898 eV per atom
# DFT formation energy: -0.1045 eV per atom
# energy above the most stable polymorph in this dataset: 0.04 eV per formula unit



# HfSc3Cu (PBE, relaxed)
data_HfSc3Cu
_symmetry_space_group_name_H-M 'P m -3 m'
_symmetry_Int_Tables_number 221
_symmetry_space_group_name_Hall '-P 4 2 3'
_cell_length_a 4.9258
_cell_length_b 4.9258
_cell_length_c 4.9258
_cell_angle_alpha 90.00
_cell_angle_beta 90.00
_cell_angle_gamma 90.00
loop_
_atom_site_label
_atom_site_type_symbol
_atom_site_fract_x
_atom_site_fract_y
_atom_site_fract_z
Hf1 Hf 0.0000 0.0000 0.0000
Sc1 Sc 0.0000 0.5000 0.5000
Cu1 Cu 0.5000 0.5000 0.5000
# VASP energy: -6.241 eV per atom
# DFT formation energy: 0.3683 eV per atom
# energy above the most stable polymorph in this dataset: 0.00 eV per formula unit



# HfScCuSn (PBE, relaxed)
data_HfScCuSn
_symmetry_space_group_name_H-M 'F -4 3 m'
_symmetry_Int_Tables_number 216
_symmetry_space_group_name_Hall 'F -4 2 3'
_cell_length_a 6.8012
_cell_length_b 6.8012
_cell_length_c 6.8012
_cell_angle_alpha 90.00
_cell_angle_beta 90.00
_cell_angle_gamma 90.00
loop_
_atom_site_label
_atom_site_type_symbol
_atom_site_fract_x
_atom_site_fract_y
_atom_site_fract_z
Hf1 Hf 0.0000 0.0000 0.0000
Sc1 Sc 0.0000 0.0000 0.5000
Cu1 Cu 0.2500 0.2500 0.7500
Sn1 Sn 0.2500 0.2500 0.2500
# VASP energy: -6.340 eV per atom
# DFT formation energy: -0.2444 eV per atom



# Hf2ScTlCu (PBE, relaxed)
data_Hf2ScTlCu
_symmetry_space_group_name_H-M 'P 4/m m m'
_symmetry_Int_Tables_number 123
_symmetry_space_group_name_Hall '-P 4 2'
_cell_length_a 5.3622
_cell_length_b 5.3622
_cell_length_c 4.7603
_cell_angle_alpha 90.00
_cell_angle_beta 90.00
_cell_angle_gamma 90.00
loop_
_atom_site_label
_atom_site_type_symbol
_atom_site_fract_x
_atom_site_fract_y
_atom_site_fract_z
Hf1 Hf 0.0000 0.5000 0.0000
Sc1 Sc 0.0000 0.0000 0.5000
Tl1 Tl 0.5000 0.5000 0.0000
Cu1 Cu 0.5000 0.5000 0.5000
# VASP energy: -5.378 eV per atom
# DFT formation energy: 1.1617 eV per atom



# HfScCu2W (PBE, relaxed)
data_HfScCu2W
_symmetry_space_group_name_H-M 'P 4/m m m'
_symmetry_Int_Tables_number 123
_symmetry_space_group_name_Hall '-P 4 2'
_cell_length_a 4.5967
_cell_length_b 4.5967
_cell_length_c 4.8888
_cell_angle_alpha 90.00
_cell_angle_beta 90.00
_cell_angle_gamma 90.00
loop_
_atom_site_label
_atom_site_type_symbol
_atom_site_fract_x
_atom_site_fract_y
_atom_site_fract_z
Hf1 Hf 0.0000 0.0000 0.0000
Sc1 Sc 0.0000 0.0000 0.5000
Cu1 Cu 0.0000 0.5000 0.0000
W1 W 0.5000 0.5000 0.5000
# VASP energy: -5.605 eV per atom
# DFT formation energy: 1.8812 eV per atom



# YHfSc2Cu (PBE, relaxed)
data_YHfSc2Cu
_symmetry_space_group_name_H-M 'P 4/m m m'
_symmetry_Int_Tables_number 123
_symmetry_space_group_name_Hall '-P 4 2'
_cell_length_a 5.1391
_cell_length_b 5.1391
_cell_length_c 4.9472
_cell_angle_alpha 90.00
_cell_angle_beta 90.00
_cell_angle_gamma 90.00
loop_
_atom_site_label
_atom_site_type_symbol
_atom_site_fract_x
_atom_site_fract_y
_atom_site_fract_z
Y1 Y 0.0000 0.0000 0.0000
Hf1 Hf 0.5000 0.5000 0.5000
Sc1 Sc 0.0000 0.5000 0.5000
Cu1 Cu 0.5000 0.5000 0.0000
# VASP energy: -5.939 eV per atom
# DFT formation energy: 0.6962 eV per atom



# HfScZnCu (PBE, relaxed)
data_HfScZnCu
_symmetry_space_group_name_H-M 'P 4 m m'
_symmetry_Int_Tables_number 99
_cell_length_a 3.2347
_cell_length_b 3.2347
_cell_length_c 6.8031
_cell_angle_alpha 90.00
_cell_angle_beta 90.00
_cell_angle_gamma 90.00
loop_
_symmetry_equiv_pos_as_xyz
'x,y,z'
'-y,x,z'
'-x,-y,z'
'y,-x,z'
'-x,y,z'
'y,x,z'
'x,-y,z'
'-y,-x,z'
loop_
_atom_site_label
_atom_site_type_symbol
_atom_site_fract_x
_atom_site_fract_y
_atom_site_fract_z
Hf1 Hf 0.0000 0.0000 0.0000
Sc1 Sc 0.0000 0.0000 0.5147
Zn1 Zn 0.5000 0.5000 0.2553
Cu1 Cu 0.5000 0.5000 0.7590
# VASP energy: -5.637 eV per atom
# DFT formation energy: -0.2235 eV per atom



# HfZrScCu (PBE, relaxed)
data_HfZrScCu
_symmetry_space_group_name_H-M 'P 4 m m'
_symmetry_Int_Tables_number 99
_cell_length_a 3.2031
_cell_length_b 3.2031
_cell_length_c 7.9043
_cell_angle_alpha 90.00
_cell_angle_beta 90.00
_cell_angle_gamma 90.00
loop_
_symmetry_equiv_pos_as_xyz
'x,y,z'
'-y,x,z'
'-x,-y,z'
'y,-x,z'
'-x,y,z'
'y,x,z'
'x,-y,z'
'-y,-x,z'
loop_
_atom_site_label
_atom_site_type_symbol
_atom_site_fract_x
_atom_site_fract_y
_atom_site_fract_z
Hf1 Hf 0.0000 0.0000 0.0000
Zr1 Zr 0.5000 0.5000 0.7286
Sc1 Sc 0.0000 0.0000 0.4300
Cu1 Cu 0.5000 0.5000 0.2101
# VASP energy: -7.343 eV per atom
# DFT formation energy: -0.1111 eV per atom



# HfCuSe3 (PBE, relaxed)
data_HfCuSe3
_symmetry_space_group_name_H-M 'P 1 21/m 1'
_symmetry_Int_Tables_number 11
_cell_length_a 6.7443
_cell_length_b 3.7567
_cell_length_c 9.9377
_cell_angle_alpha 90.00
_cell_angle_beta 90.74
_cell_angle_gamma 90.00
loop_
_symmetry_equiv_pos_as_xyz
'x,y,z'
'-x,-y,-z'
'-x,y+1/2,-z'
'x,-y+1/2,z'
loop_
_atom_site_label
_atom_site_type_symbol
_atom_site_fract_x
_atom_site_fract_y
_atom_site_fract_z
Hf1 Hf 0.2420 0.2500 0.0488
Cu1 Cu 0.4391 0.2500 0.5896
Se1 Se 0.0076 0.7500 0.1585
Se2 Se 0.2497 0.7500 0.5236
Se3 Se 0.4927 0.7500 0.1518
# VASP energy: -5.602 eV per atom
# E_form (uncorrected): -701 meV per atom
# energy above the most stable polymorph in this dataset: 0.00 eV per formula unit



# Hf3Cu5Se12 (PBE, relaxed)
data_Hf3Cu5Se12
_symmetry_space_group_name_H-M 'I a -3 d'
_symmetry_Int_Tables_number 230
_symmetry_space_group_name_Hall '-I 4bd 2c 3'
_cell_length_a 15.0742
_cell_length_b 15.0742
_cell_length_c 15.0742
_cell_angle_alpha 90.00
_cell_angle_beta 90.00
_cell_angle_gamma 90.00
loop_
_atom_site_label
_atom_site_type_symbol
_atom_site_fract_x
_atom_site_fract_y
_atom_site_fract_z
Hf1 Hf 0.0000 0.2500 0.1250
Cu1 Cu 0.0000 0.0000 0.0000
Cu2 Cu 0.0000 0.2500 0.3750
Se1 Se 0.0221 0.0651 0.6526
# VASP energy: -5.104 eV per atom
# E_form (uncorrected): -497 meV per atom



# HfCu3Se (PBE, relaxed)
data_HfCu3Se
_symmetry_space_group_name_H-M 'P m -3 m'
_symmetry_Int_Tables_number 221
_symmetry_space_group_name_Hall '-P 4 2 3'
_cell_length_a 4.8925
_cell_length_b 4.8925
_cell_length_c 4.8925
_cell_angle_alpha 90.00
_cell_angle_beta 90.00
_cell_angle_gamma 90.00
loop_
_atom_site_label
_atom_site_type_symbol
_atom_site_fract_x
_atom_site_fract_y
_atom_site_fract_z
Hf1 Hf 0.0000 0.0000 0.0000
Cu1 Cu 0.0000 0.0000 0.5000
Se1 Se 0.5000 0.5000 0.5000
# VASP energy: -3.815 eV per atom
# E_form (uncorrected): 1330 meV per atom
# energy above the most stable polymorph in this dataset: 3.36 eV per formula unit



# HfCuSe3 (PBE, relaxed)
data_HfCuSe3
_symmetry_space_group_name_H-M 'P m -3 m'
_symmetry_Int_Tables_number 221
_symmetry_space_group_name_Hall '-P 4 2 3'
_cell_length_a 5.1619
_cell_length_b 5.1619
_cell_length_c 5.1619
_cell_angle_alpha 90.00
_cell_angle_beta 90.00
_cell_angle_gamma 90.00
loop_
_atom_site_label
_atom_site_type_symbol
_atom_site_fract_x
_atom_site_fract_y
_atom_site_fract_z
Hf1 Hf 0.0000 0.0000 0.0000
Cu1 Cu 0.5000 0.5000 0.5000
Se1 Se 0.0000 0.0000 0.5000
# VASP energy: -4.984 eV per atom
# E_form (uncorrected): -83 meV per atom
# energy above the most stable polymorph in this dataset: 3.09 eV per formula unit



# HfCu6Se8 (PBE, relaxed)
data_HfCu6Se8
_symmetry_space_group_name_H-M 'R -3'
_symmetry_Int_Tables_number 148
_symmetry_space_group_name_Hall '-R 3'
_cell_length_a 9.7561
_cell_length_b 9.7561
_cell_length_c 10.5103
_cell_angle_alpha 90.00
_cell_angle_beta 90.00
_cell_angle_gamma 120.00
loop_
_atom_site_label
_atom_site_type_symbol
_atom_site_fract_x
_atom_site_fract_y
_atom_site_fract_z
Hf1 Hf 0.0000 0.0000 0.0000
Cu1 Cu 0.0407 0.2364 0.5806
Se1 Se 0.0000 0.0000 0.3203
Se2 Se 0.0170 0.7512 0.8972
# VASP energy: -4.349 eV per atom
# E_form (uncorrected): -189 meV per atom



# HfCuSe3 (PBE, relaxed)
data_HfCuSe3
_symmetry_space_group_name_H-M 'P m -3 m'
_symmetry_Int_Tables_number 221
_symmetry_space_group_name_Hall '-P 4 2 3'
_cell_length_a 4.7108
_cell_length_b 4.7108
_cell_length_c 4.7108
_cell_angle_alpha 90.00
_cell_angle_beta 90.00
_cell_angle_gamma 90.00
loop_
_atom_site_label
_atom_site_type_symbol
_atom_site_fract_x
_atom_site_fract_y
_atom_site_fract_z
Hf1 Hf 0.0000 0.0000 0.0000
Cu1 Cu 0.5000 0.5000 0.5000
Se1 Se 0.0000 0.5000 0.5000
# VASP energy: -4.715 eV per atom
# E_form (uncorrected): 185 meV per atom
# energy above the most stable polymorph in this dataset: 4.43 eV per formula unit



# Hf2CuSe (PBE, relaxed)
data_Hf2CuSe
_symmetry_space_group_name_H-M 'I -4 2 d'
_symmetry_Int_Tables_number 122
_symmetry_space_group_name_Hall 'I -4 2bw'
_cell_length_a 5.8135
_cell_length_b 5.8135
_cell_length_c 12.0149
_cell_angle_alpha 90.00
_cell_angle_beta 90.00
_cell_angle_gamma 90.00
loop_
_atom_site_label
_atom_site_type_symbol
_atom_site_fract_x
_atom_site_fract_y
_atom_site_fract_z
Hf1 Hf 0.2228 0.2500 0.1250
Cu1 Cu 0.0000 0.0000 0.0000
Se1 Se 0.0000 0.0000 0.5000
# VASP energy: -6.663 eV per atom
# E_form (uncorrected): 208 meV per atom